Below is a geometry-optimized P2IrRuCl structure, with properties calculated at the PBE level.

Calculated values
Space-group type: P4/mmm, No. 123

Cell lengths 4.5402, 4.5402, 4.9438 Å; angles 90.00, 90.00, 90.00 degrees
Last column: nearest neighbours and their distance in Å.
Element x y z (fractional)
P1 0.0000 0.5000 0.0000  2 Ir 2.27
P2 0.5000 0.0000 0.0000  2 Ir 2.27
Ir1 0.0000 0.0000 0.0000  4 P 2.27, 2 Cl 2.47
Ru1 0.5000 0.5000 0.5000  4 Cl 3.21, 8 P 3.36
Cl1 0.0000 0.0000 0.5000  2 Ir 2.47


Below is a geometry-optimized P2IrRuCl structure, with properties calculated at the PBE level.

Calculated values
Space-group type: P4/mmm, No. 123

Cell lengths 4.4932, 4.4932, 4.7598 Å; angles 90.00, 90.00, 90.00 degrees
Last column: nearest neighbours and their distance in Å.
Element x y z (fractional)
P1 0.0000 0.5000 0.0000  2 Ru 2.25
P2 0.5000 0.0000 0.0000  2 Ru 2.25
Ir1 0.0000 0.0000 0.5000  4 Cl 3.18, 8 P 3.27
Ru1 0.5000 0.5000 0.0000  4 P 2.25, 2 Cl 2.38
Cl1 0.5000 0.5000 0.5000  2 Ru 2.38


Below is a geometry-optimized PIrRuCl2 structure, with properties calculated at the PBE level.

Calculated values
Space-group type: P4/mmm, No. 123

Cell lengths 5.0218, 5.0218, 4.4210 Å; angles 90.00, 90.00, 90.00 degrees
Last column: nearest neighbours and their distance in Å.
Element x y z (fractional)
P1 0.0000 0.0000 0.0000  2 Ir 2.21
Ir1 0.0000 0.0000 0.5000  2 P 2.21
Ru1 0.5000 0.5000 0.0000  8 Cl 3.35, 4 P 3.55
Cl1 0.0000 0.5000 0.5000  2 Ir 2.51
Cl2 0.5000 0.0000 0.5000  2 Ir 2.51


For the records above, the corresponding ΔE to the lowest computed polymorph values read 0.0; 37.0; 0.0 meV/atom.
For the records above, the corresponding raw formation energy values read 1.057; 1.094; 0.980 eV per atom.